Be16Nb2Au | PBE | relaxed

extended XYZ file:
```
19
Lattice="3.7677 2.1753 3.6638 -3.7677 2.1753 3.6638 0.0000 -4.3505 3.6638" Properties=species:S:1:pos:R:3 pbc="T T T"
Be 0.0000 0.0000 0.4806
Be 0.0000 -2.2417 3.5400
Be -1.9413 1.1208 3.5400
Be -1.1370 -2.3754 5.3795
Be -2.6256 0.2030 5.3795
Be -1.8545 -1.0707 7.0966
Be 1.1370 -2.3754 5.3795
Be -1.4886 2.1723 5.3795
Be 0.0000 -2.0860 7.3275
Be -1.8065 1.0430 7.3275
Be 1.9414 1.1208 3.5400
Be 1.8545 -1.0707 7.0966
Be 0.0000 2.1414 7.0966
Be 2.6256 0.2030 5.3795
Be 1.4886 2.1723 5.3795
Be 1.8065 1.0430 7.3275
Nb 0.0000 0.0000 5.5606
Nb 0.0000 0.0000 8.9725
Au 0.0000 0.0000 2.7465
```

formation enthalpy at 0 K	-3.8	eV per formula unit